1.
Density functional theory data (GGA-PBE) for crystalline MnAlNiPd at its relaxed geometry.

Summary:
ΔE_f ... -450 meV/atom
Raw total energy ... -25.69 eV for the cell shown
Calculated volume ... 13.48 Å³/atom
Distance to the lowest polymorph of the same formula ... 0.000 eV/atom

a = 3.948 Å, b = 3.948 Å, c = 4.445 Å
α = 116.37°, β = 116.36°, γ = 90.00°
Last column: magnetic moment on the atom in μB.
Atoms (fractional coordinates):
Al (0.750, 0.250, 0.500)  -0.03
Mn (0.250, 0.750, 0.500)  3.53
Ni (0.000, 0.000, 0.000)  0.43
Pd (0.500, 0.500, 0.000)  0.18

=====

2.
Density functional theory data (GGA-PBE) for crystalline MnAlNiPd at its relaxed geometry.

Summary:
ΔE_f ... -443 meV/atom
Raw total energy ... -25.66 eV for the cell shown
Calculated volume ... 13.54 Å³/atom
Distance to the lowest polymorph of the same formula ... 0.007 eV/atom

a = 4.247 Å, b = 4.247 Å, c = 4.247 Å
α = 60.00°, β = 60.00°, γ = 60.00°
Last column: magnetic moment on the atom in μB.
Atoms (fractional coordinates):
Mn (0.250, 0.250, 0.250)  3.56
Pd (0.000, 0.000, 0.000)  0.12
Ni (0.500, 0.500, 0.500)  0.27
Al (0.750, 0.750, 0.750)  -0.03